1.
# La2Si3SnPt4

A relaxed La2Si3SnPt4 crystal (GGA-PBE, Alexandria).

The structure in extended XYZ format:
```
10
Lattice="-2.127 -2.352 -3.024 0.318 -3.555 2.542 -8.892 2.363 4.417" Properties=species:S:1:pos:R:3 pbc="T T T"
La -6.576 0.012 4.617
La -3.220 -0.603 -0.441
Si -0.920 -1.491 1.807
Si -4.446 1.181 2.208
Si -8.876 0.900 2.369
Sn -5.351 -1.772 1.967
Pt -0.905 -2.954 -0.241
Pt -6.776 0.342 1.325
Pt 0.000 0.000 0.000
Pt -3.021 -0.932 2.851
```

Calculated values
The raw formation energy is -1.034 eV per atom. The calculated density comes out at 10.69 g cm⁻³. As for the final energy: -64.63 eV for the cell shown.



2.
# MnGa2Rh3

A relaxed MnGa2Rh3 crystal (GGA-PBE, Alexandria).

The structure in extended XYZ format:
```
6
Lattice="-0.346 -3.000 0.423 1.755 -0.745 -3.845 4.935 0.084 4.631" Properties=species:S:1:pos:R:3 pbc="T T T"
Ga 2.761 -0.466 -1.044
Ga 3.928 -0.195 1.831
Rh 0.704 -1.873 -1.711
Rh 4.536 -2.063 0.075
Rh 1.808 -1.598 1.135
Mn 0.000 0.000 0.000
```

Calculated values
The calculated density comes out at 9.94 g cm⁻³. As for the final energy: -40.80 eV for the cell shown.



3.
# AcLu2Zn

A relaxed AcLu2Zn crystal (GGA-PBE, Alexandria).

The structure in extended XYZ format:
```
4
Lattice="-1.948 0.004 2.965 0.637 -2.389 2.544 6.930 6.313 6.666" Properties=species:S:1:pos:R:3 pbc="T T T"
Lu 0.997 -0.158 7.022
Lu 4.622 4.086 5.153
Ac 0.000 0.000 0.000
Zn 2.810 1.964 6.088
```

Calculated values
The calculated density comes out at 8.65 g cm⁻³. As for the final energy: -13.86 eV for the cell shown.



4.
# Pm2Al4RhAu3

A relaxed Pm2Al4RhAu3 crystal (GGA-PBE, Alexandria).

The structure in extended XYZ format:
```
10
Lattice="-1.581 2.185 3.385 -2.392 -3.436 1.101 7.934 -3.593 6.025" Properties=species:S:1:pos:R:3 pbc="T T T"
Al 4.161 -1.150 5.453
Al 0.000 0.000 0.000
Al -1.986 -0.625 2.243
Al 1.786 -3.068 2.815
Au -0.110 -2.209 1.375
Au 6.058 -2.008 6.893
Au 3.967 -1.796 3.012
Pm 4.720 -4.396 5.042
Pm 1.228 0.179 3.226
Rh 1.981 -2.421 5.256
```

Calculated values
The calculated density comes out at 9.14 g cm⁻³. As for the final energy: -49.35 eV for the cell shown.



5.
# Nd2Y6Tm3Mg

A relaxed Nd2Y6Tm3Mg crystal (GGA-PBE, Alexandria).

The structure in extended XYZ format:
```
12
Lattice="6.142 -0.003 -0.001 -3.072 5.318 -0.001 -1.028 -1.780 11.574" Properties=species:S:1:pos:R:3 pbc="T T T"
Y 3.062 1.779 8.648
Y 2.050 3.549 2.930
Y 2.031 -0.005 2.924
Y 0.011 3.541 8.648
Y -1.020 1.757 2.924
Y -0.007 -0.013 8.642
Nd 0.001 3.544 -0.001
Nd 3.069 1.772 -0.001
Mg 0.000 0.000 0.000
Tm 1.021 1.768 5.786
Tm 4.104 -0.013 5.786
Tm -2.062 3.549 5.786
```

Calculated values
The calculated density comes out at 5.95 g cm⁻³. As for the final energy: -63.02 eV for the cell shown.



6.
# LaNd2Mg4

A relaxed LaNd2Mg4 crystal (GGA-PBE, Alexandria).

The structure in extended XYZ format:
```
7
Lattice="-0.529 0.031 5.401 -0.463 -4.680 2.708 7.618 -1.883 3.484" Properties=species:S:1:pos:R:3 pbc="T T T"
Mg 4.273 -1.743 3.155
Mg 4.946 -3.335 5.957
Mg 1.679 -3.197 5.636
Mg 2.353 -4.789 8.438
Nd 0.829 -1.598 2.817
Nd 5.797 -4.934 8.776
La 0.000 0.000 0.000
```

Calculated values
The calculated density comes out at 4.27 g cm⁻³. As for the final energy: -20.29 eV for the cell shown.



7.
# CuPbCl3

A relaxed CuPbCl3 crystal (GGA-PBE, Alexandria).

The structure in extended XYZ format:
```
20
Lattice="-1.684 -8.816 0.705 3.012 -0.921 -4.316 10.985 -1.461 7.978" Properties=species:S:1:pos:R:3 pbc="T T T"
Cl 4.850 -3.165 0.753
Cl 8.705 -2.360 1.297
Cl 8.837 -3.435 6.900
Cl 2.920 -1.540 -2.274
Cl 7.463 -8.032 3.614
Cl 3.608 -8.837 3.070
Cl 6.358 -4.683 4.103
Cl 9.393 -9.657 6.641
Cl 5.955 -6.514 0.264
Cl 0.464 -6.842 1.783
Cl 11.156 -7.155 4.672
Cl 1.157 -4.042 -0.305
Pb 1.094 -7.185 -1.011
Pb 4.221 -2.821 3.547
Pb 11.219 -4.012 5.378
Pb 5.080 -7.455 5.136
Cu 6.999 -1.191 1.831
Cu 6.157 -5.599 2.184
Cu -0.842 -4.408 0.353
Cu 0.000 0.000 0.000
```

Calculated values
The raw formation energy is -0.766 eV per atom. The calculated density comes out at 3.81 g cm⁻³. As for the final energy: -68.71 eV for the cell shown.



8.
# MnOsW2

A relaxed MnOsW2 crystal (GGA-PBE, Alexandria).

The structure in extended XYZ format:
```
4
Lattice="5.300 0.000 0.001 -2.333 4.449 -0.003 0.634 0.790 2.529" Properties=species:S:1:pos:R:3 pbc="T T T"
W 0.000 0.000 0.000
W 2.967 0.395 1.265
Os 1.483 2.225 -0.001
Mn -0.850 2.620 1.263
```

Calculated values
The calculated density comes out at 17.06 g cm⁻³. As for the final energy: -45.66 eV for the cell shown.



Please write out number 8 again, unchanged.
# MnOsW2

A relaxed MnOsW2 crystal (GGA-PBE, Alexandria).

The structure in extended XYZ format:
```
4
Lattice="5.300 0.000 0.001 -2.333 4.449 -0.003 0.634 0.790 2.529" Properties=species:S:1:pos:R:3 pbc="T T T"
W 0.000 0.000 0.000
W 2.967 0.395 1.265
Os 1.483 2.225 -0.001
Mn -0.850 2.620 1.263
```

Calculated values
The calculated density comes out at 17.06 g cm⁻³. As for the final energy: -45.66 eV for the cell shown.